BeTl: PBEsol geometry, SCAN.

Unit cell a=2.9829 b=2.9829 c=8.5831 alpha=90.00 beta=90.00 gamma=90.00
Sites, in units of the cell vectors:
Be (0.2500, 0.2500, 0.0442)
Be (0.7500, 0.7500, 0.9558)
Tl (0.2500, 0.2500, 0.6897)
Tl (0.7500, 0.7500, 0.3103)

Output
ΔE_f	0.501	eV per atom
electronic total energy	-151.421	eV per cell
polymorph energy (0 for the lowest one)	0.000	eV per atom
density	9.3	g/cm3
space-group type	P4/nmm

Be2Tl: PBEsol geometry, SCAN.

Unit cell a=4.2938 b=4.2938 c=9.7758 alpha=90.00 beta=90.00 gamma=90.00
Sites, in units of the cell vectors:
Be (0.1764, 0.3236, 0.0000)
Be (0.1764, 0.6764, 0.5000)
Be (0.3236, 0.1764, 0.5000)
Be (0.3236, 0.8236, 0.0000)
Be (0.6764, 0.1764, 0.0000)
Be (0.6764, 0.8236, 0.5000)
Be (0.8236, 0.3236, 0.5000)
Be (0.8236, 0.6764, 0.0000)
Tl (0.0000, 0.0000, 0.2500)
Tl (0.0000, 0.0000, 0.7500)
Tl (0.5000, 0.5000, 0.2500)
Tl (0.5000, 0.5000, 0.7500)

Output
ΔE_f	0.469	eV per atom
electronic total energy	-318.633	eV per cell
polymorph energy (0 for the lowest one)	0.000	eV per atom
density	8.2	g/cm3
space-group type	I4/mcm

BeTl2: PBEsol geometry, SCAN.

Unit cell a=6.1025 b=6.2884 c=3.4917 alpha=90.00 beta=90.00 gamma=90.00
Sites, in units of the cell vectors:
Be (0.0000, 0.0000, 0.0000)
Be (0.5000, 0.5000, 0.5000)
Tl (0.2467, 0.3162, 0.0000)
Tl (0.2533, 0.8162, 0.5000)
Tl (0.7467, 0.1838, 0.5000)
Tl (0.7533, 0.6838, 0.0000)

Output
ΔE_f	0.343	eV per atom
electronic total energy	-296.081	eV per cell
density	10.4	g/cm3
space-group type	Pnnm

BeTl: PBEsol geometry, SCAN.

Unit cell a=3.1132 b=3.1132 c=3.7453 alpha=90.00 beta=90.00 gamma=90.00
Sites, in units of the cell vectors:
Be (0.0000, 0.0000, 0.0000)
Tl (0.5000, 0.5000, 0.5000)

Output
ΔE_f	0.803	eV per atom
electronic total energy	-75.105	eV per cell
polymorph energy (0 for the lowest one)	0.303	eV per atom
density	9.8	g/cm3
space-group type	P4/mmm